A plane-wave DFT calculation with PBE was carried out for crystalline PaGaHg at its relaxed geometry.

POSCAR file:
```
PaGaHg
1.0
0.000 3.361 3.361
3.361 0.000 3.361
3.361 3.361 0.000
Hg Pa Ga
1 1 1
direct
0.250 0.250 0.250
0.750 0.750 0.750
0.000 0.000 0.000
```

Computed properties:
**Spin magnetization**: 1.5 μB per formula unit
**VASP energy**: -4.07 eV/atom
**Space-group type**: F-43m (216)
**ΔE to the lowest computed polymorph**: 0.0 meV/atom